# 1
DFT (PBE-GGA) results for a relaxed structure of Ba2GdAu.

abc: 4.123 4.123 35.888
angles: 90.00 90.00 120.00
Element x y z (fractional)
Ba 0.000 0.000 0.105
Ba 0.000 0.000 0.895
Ba 0.333 0.667 0.561
Ba 0.333 0.667 0.772
Ba 0.667 0.333 0.228
Ba 0.667 0.333 0.439
Gd 0.000 0.000 0.000
Gd 0.333 0.667 0.667
Gd 0.667 0.333 0.333
Au 0.000 0.000 0.500
Au 0.333 0.667 0.167
Au 0.667 0.333 0.833

E_form	0.03	eV/atom
M_tot	8.08	μB/f.u.
calculated volume	44.0	Å³ per atom

---

# 2
DFT (PBE-GGA) results for a relaxed structure of Sr2CuB2O6.

abc: 5.772 5.772 5.969
angles: 114.21 114.21 51.19
Element x y z (fractional)
Sr 0.200 0.200 0.202
Sr 0.800 0.800 0.798
Cu 0.000 0.000 0.500
B 0.487 0.487 0.737
B 0.513 0.513 0.263
O 0.196 0.669 0.225
O 0.331 0.804 0.775
O 0.344 0.344 0.672
O 0.656 0.656 0.328
O 0.669 0.196 0.225
O 0.804 0.331 0.775

formation energy without anion corrections	-26.2	eV per formula unit
energy above the lowest structure with this stoichiometry	15.2	meV/atom
M_tot	0.21	μB/f.u.
calculated volume	12.5	Å³ per atom

---

# 3
DFT (PBE-GGA) results for a relaxed structure of Li2AlAg.

abc: 3.185 4.409 4.552
angles: 90.00 90.00 90.00
Element x y z (fractional)
Li 0.000 0.000 0.000
Li 0.500 0.500 0.000
Al 0.000 0.500 0.500
Ag 0.500 0.000 0.500

E_form	-0.18	eV/atom
M_tot	0.00	μB/f.u.
calculated volume	16.0	Å³ per atom

---

# 4
DFT (PBE-GGA) results for a relaxed structure of SbIr2Au.

abc: 8.626 3.152 5.229
angles: 90.00 102.20 90.00
Element x y z (fractional)
Sb 0.000 0.000 0.000
Sb 0.500 0.500 0.000
Ir 0.246 0.500 0.238
Ir 0.254 0.000 0.762
Ir 0.746 0.000 0.238
Ir 0.754 0.500 0.762
Au 0.000 0.500 0.500
Au 0.500 0.000 0.500

formation energy without anion corrections	1.2	eV per formula unit
M_tot	0.00	μB/f.u.
calculated volume	17.4	Å³ per atom